4
Lattice="0.0000 3.4151 3.4151 3.4151 0.0000 3.4151 3.4151 3.4151 0.0000" Properties=species:S:1:pos:R:3 comment="GGA-PBE SrZnBAu, relaxed" space_group="No. 216" e_above_lowest_polymorph_mev_per_atom=205 density_g_cm3=7.52 pbc="T T T"
Sr 0.0000 0.0000 0.0000
Zn 1.7076 1.7076 1.7076
B 3.4151 3.4151 3.4151
Au 5.1227 5.1227 5.1227


5
Lattice="1.5290 -6.3790 0.0000 1.5290 6.3790 0.0000 0.0000 0.0000 3.2709" Properties=species:S:1:pos:R:3 comment="GGA-PBE Ta2B2Au, relaxed" total_magnetization_mub_per_fu=0.003 space_group="No. 65" total_energy_ev_per_atom=-8.59 density_g_cm3=15.11 pbc="T T T"
Ta 1.5290 4.4990 0.0000
Ta 1.5290 -4.4990 0.0000
B 1.5290 2.7786 1.6354
B 1.5290 -2.7786 1.6354
Au 1.5290 0.0000 1.6354


3
Lattice="0.0000 2.9284 2.9284 2.9284 0.0000 2.9284 2.9284 2.9284 0.0000" Properties=species:S:1:pos:R:3 comment="GGA-PBE TaBAu, relaxed" total_magnetization_mub_per_fu=0.000 space_group="No. 216" total_energy_ev_per_atom=-6.22 density_g_cm3=12.85 pbc="T T T"
Ta 0.0000 0.0000 0.0000
B 2.9284 2.9284 2.9284
Au 4.3926 4.3926 4.3926


4
Lattice="0.0000 3.1407 3.1407 3.1407 0.0000 3.1407 3.1407 3.1407 0.0000" Properties=species:S:1:pos:R:3 comment="GGA-PBE TaBAu2, relaxed" total_magnetization_mub_per_fu=0.003 space_group="No. 216" total_energy_ev_per_atom=-5.60 density_g_cm3=15.70 pbc="T T T"
Ta 0.0000 0.0000 0.0000
B 4.7110 4.7110 4.7110
Au 1.5703 1.5703 1.5703
Au 3.1407 3.1407 3.1407


12
Lattice="3.2532 0.0000 0.0000 -1.6266 2.8174 0.0000 0.0000 0.0000 18.9616" Properties=species:S:1:pos:R:3 comment="GGA-PBE Ta3B2Au, relaxed" total_magnetization_mub_per_fu=0.006 space_group="No. 194" total_energy_ev_per_atom=-9.16 density_g_cm3=14.55 pbc="T T T"
Ta 0.0000 0.0000 0.0000
Ta 0.0000 0.0000 9.4808
Ta 0.0000 1.8782 2.5373
Ta 0.0000 1.8782 6.9435
Ta 1.6266 0.9391 12.0181
Ta 1.6266 0.9391 16.4243
B 0.0000 1.8782 10.8331
B 0.0000 1.8782 17.6094
B 1.6266 0.9391 1.3522
B 1.6266 0.9391 8.1286
Au 0.0000 0.0000 4.7404
Au 0.0000 0.0000 14.2212


3
Lattice="0.0000 2.9616 2.9616 2.9616 0.0000 2.9616 2.9616 2.9616 0.0000" Properties=species:S:1:pos:R:3 comment="GGA-PBE TaBAu, relaxed" total_magnetization_mub_per_fu=0.000 space_group="No. 216" total_energy_ev_per_atom=-6.35 density_g_cm3=12.42 pbc="T T T"
Ta 0.0000 0.0000 0.0000
B 1.4808 1.4808 1.4808
Au 4.4424 4.4424 4.4424


6
Lattice="-1.5462 2.4915 3.9046 1.5462 -2.4915 3.9046 1.5462 2.4915 -3.9046" Properties=species:S:1:pos:R:3 comment="GGA-PBE TaB4Au, relaxed" total_magnetization_mub_per_fu=0.000 space_group="No. 71" e_above_lowest_polymorph_mev_per_atom=118 density_g_cm3=11.62 pbc="T T T"
Ta 0.0000 0.0000 0.0000
B 1.5462 -0.9367 1.7290
B 1.5462 0.9367 1.7290
B 0.0000 1.5548 2.1756
B 0.0000 3.4282 2.1756
Au 0.0000 0.0000 3.9046


16
Lattice="3.2596 0.0000 0.0000 -1.6298 2.8229 0.0000 0.0000 0.0000 24.1786" Properties=species:S:1:pos:R:3 comment="GGA-PBE Ta4B3Au, relaxed" total_magnetization_mub_per_fu=0.000 space_group="No. 194" total_energy_ev_per_atom=-9.34 density_g_cm3=14.23 pbc="T T T"
Ta 0.0000 0.0000 3.8526
Ta 0.0000 0.0000 8.2367
Ta 0.0000 0.0000 15.9419
Ta 0.0000 0.0000 20.3260
Ta 0.0000 1.8819 1.2893
Ta 0.0000 1.8819 10.8001
Ta 1.6298 0.9410 13.3786
Ta 1.6298 0.9410 22.8894
B 0.0000 0.0000 0.0000
B 0.0000 0.0000 12.0893
B 0.0000 1.8819 14.7513
B 0.0000 1.8819 21.5166
B 1.6298 0.9410 2.6620
B 1.6298 0.9410 9.4273
Au 0.0000 1.8819 6.0447
Au 1.6298 0.9410 18.1340


9
Lattice="6.2322 0.0000 0.0000 -3.1161 5.3973 0.0000 0.0000 0.0000 3.8006" Properties=species:S:1:pos:R:3 comment="GGA-PBE TaBAu, relaxed" total_magnetization_mub_per_fu=0.001 space_group="No. 189" total_energy_ev_per_atom=-7.06 density_g_cm3=15.15 pbc="T T T"
Ta -0.8364 1.4488 0.0000
Ta 1.6729 0.0000 0.0000
Ta 2.2797 3.9485 0.0000
B 0.0000 0.0000 1.9003
B 0.0000 3.5982 0.0000
B 3.1161 1.7991 0.0000
Au -1.9166 3.3197 1.9003
Au 1.1995 2.0776 1.9003
Au 3.8333 0.0000 1.9003


6
Lattice="3.0186 0.0000 0.0000 -1.5093 2.6142 0.0000 0.0000 0.0000 8.0681" Properties=species:S:1:pos:R:3 comment="GGA-PBE TaB4Au, relaxed" total_magnetization_mub_per_fu=0.003 space_group="No. 191" e_above_lowest_polymorph_mev_per_atom=0 density_g_cm3=10.98 pbc="T T T"
Ta 0.0000 0.0000 0.0000
B 0.0000 1.7428 1.6672
B 0.0000 1.7428 6.4010
B 1.5093 0.8714 1.6672
B 1.5093 0.8714 6.4010
Au 0.0000 0.0000 4.0341


4
Lattice="0.0000 2.9924 2.9924 2.9924 0.0000 2.9924 2.9924 2.9924 0.0000" Properties=species:S:1:pos:R:3 comment="GGA-PBE TaB2Au, relaxed" total_magnetization_mub_per_fu=0.005 space_group="No. 216" total_energy_ev_per_atom=-5.72 density_g_cm3=12.38 pbc="T T T"
Ta 0.0000 0.0000 0.0000
B 2.9924 2.9924 2.9924
B 4.4886 4.4886 4.4886
Au 1.4962 1.4962 1.4962


3
Lattice="0.0000 2.8921 2.8921 2.8921 0.0000 2.8921 2.8921 2.8921 0.0000" Properties=species:S:1:pos:R:3 comment="GGA-PBE TcBAu, relaxed" total_magnetization_mub_per_fu=1.148 space_group="No. 216" e_above_lowest_polymorph_mev_per_atom=0 density_g_cm3=10.49 pbc="T T T"
Tc 0.0000 0.0000 0.0000
B 4.3382 4.3382 4.3382
Au 1.4461 1.4461 1.4461